(1)
## Ag3GeTe3 (PBE)

Data for a relaxed structure of Ag3GeTe3.

- crystal system = monoclinic
- final energy (eV for the cell shown) = -44.40
- energy relative to the elements, uncorrected (kJ/mol of atoms) = 5
- space-group type = P2_1/m

abc: 4.744 9.385 9.391
angles: 106.86 90.00 90.00
Element x y z (fractional)
Te  0.750  0.141  0.435
Te  0.250  0.859  0.565
Te  0.750  0.565  0.858
Te  0.250  0.917  0.083
Te  0.750  0.083  0.917
Te  0.250  0.435  0.142
Ag  0.250  0.673  0.777
Ag  0.750  0.809  0.191
Ag  0.750  0.327  0.223
Ag  0.750  0.778  0.674
Ag  0.250  0.191  0.809
Ag  0.250  0.222  0.326
Ge  0.750  0.274  0.726
Ge  0.250  0.726  0.274



(2)
## TaNb3Bi (PBE)

Data for a relaxed structure of TaNb3Bi.

- crystal system = cubic
- final energy (eV for the cell shown) = -39.83
- energy of formation from the pure elements (meV per atom) = 1222
- space-group type = Pm-3m

abc: 4.959 4.959 4.959
angles: 90.00 90.00 90.00
Element x y z (fractional)
Nb  0.000  0.500  0.000
Nb  0.500  0.000  0.000
Nb  0.000  0.000  0.500
Bi  0.500  0.500  0.500
Ta  0.000  0.000  0.000



(3)
## Cs2KTlF (PBE)

Data for a relaxed structure of Cs2KTlF.

- crystal system = tetragonal
- final energy (eV for the cell shown) = -11.49
- energy relative to the elements, uncorrected (kJ/mol of atoms) = -86
- space-group type = P4/mmm

abc: 5.802 5.802 7.431
angles: 90.00 90.00 90.00
Element x y z (fractional)
Cs  0.000  0.500  0.000
Cs  0.500  0.000  0.000
F  0.000  0.000  0.000
K  0.500  0.500  0.500
Tl  0.000  0.000  0.500



The highest final energy belongs to which entry?
Cs2KTlF



Which formula does entry 3 have?
Cs2KTlF